The following is a PBE calculation of a relaxed structure of TmTlRe2O8, from Alexandria.

Unit cell a=6.013 b=6.013 c=7.730 alpha=90.00 beta=90.00 gamma=120.00
Positions (direct):
O 0.339 0.170 0.328
O 0.333 0.667 0.979
O 0.661 0.830 0.672
O 0.170 0.831 0.672
O 0.830 0.169 0.328
O 0.169 0.339 0.672
O 0.831 0.661 0.328
O 0.667 0.333 0.021
Tl 0.000 0.000 0.000
Tm 0.000 0.000 0.500
Re 0.667 0.333 0.249
Re 0.333 0.667 0.751

Properties
E_form (uncorrected)	-1852	meV per atom
SG	P-3m1 (164)